[1]
This record from the Open Quantum Materials Database describes a relaxed KScPtSe3 crystal. The functional is GGA-PBE.

## Properties
Relative energy among the computed polymorphs in meV/atom: 0
M_tot in μB per atom: 0.000

Cell and atoms, written as CIF:
```
data_KScPtSe3
_cell_length_a 15.2933
_cell_length_b 3.8946
_cell_length_c 10.7169
_cell_angle_alpha 90.00
_cell_angle_beta 90.00
_cell_angle_gamma 90.00
_symmetry_space_group_name_H-M 'P n m a'
_symmetry_Int_Tables_number 62
_symmetry_space_group_name_Hall '-P 2ac 2n'
loop_
_atom_site_label
_atom_site_fract_x
_atom_site_fract_y
_atom_site_fract_z
_atom_site_occupancy
K1 0.2299 0.2500 0.0609 1
Sc1 0.0048 0.2500 0.3464 1
Pt1 0.0147 0.2500 0.9151 1
Se1 0.0998 0.2500 0.5567 1
Se2 0.1053 0.7500 0.8561 1
Se3 0.1075 0.7500 0.2464 1
```

---

[2]
This record from the Open Quantum Materials Database describes a relaxed KScPtSe3 crystal. The functional is GGA-PBE.

## Properties
Relative energy among the computed polymorphs in meV/atom: 19
M_tot in μB per atom: 0.001

Cell and atoms, written as CIF:
```
data_KScPtSe3
_cell_length_a 3.9148
_cell_length_b 15.7313
_cell_length_c 9.9326
_cell_angle_alpha 90.00
_cell_angle_beta 90.00
_cell_angle_gamma 90.00
_symmetry_space_group_name_H-M 'C m c m'
_symmetry_Int_Tables_number 63
_symmetry_space_group_name_Hall '-C 2c 2'
loop_
_atom_site_label
_atom_site_fract_x
_atom_site_fract_y
_atom_site_fract_z
_atom_site_occupancy
K1 0.0000 0.2386 0.2500 1
Sc1 0.0000 0.0000 0.0000 1
Pt1 0.0000 0.4841 0.7500 1
Se1 0.0000 0.0845 0.7500 1
Se2 0.0000 0.3821 0.5585 1
```

---

[3]
This record from the Open Quantum Materials Database describes a relaxed KScPtSe3 crystal. The functional is GGA-PBE.

## Properties
Relative energy among the computed polymorphs in meV/atom: 67
M_tot in μB per atom: 0.002

Cell and atoms, written as CIF:
```
data_KScPtSe3
_cell_length_a 4.0390
_cell_length_b 15.4237
_cell_length_c 10.1331
_cell_angle_alpha 90.00
_cell_angle_beta 90.00
_cell_angle_gamma 90.00
_symmetry_space_group_name_H-M 'C m c m'
_symmetry_Int_Tables_number 63
_symmetry_space_group_name_Hall '-C 2c 2'
loop_
_atom_site_label
_atom_site_fract_x
_atom_site_fract_y
_atom_site_fract_z
_atom_site_occupancy
K1 0.0000 0.2455 0.2500 1
Sc1 0.0000 0.4828 0.7500 1
Pt1 0.0000 0.0000 0.0000 1
Se1 0.0000 0.0837 0.7500 1
Se2 0.0000 0.3893 0.5422 1
```

---

[4]
This record from the Open Quantum Materials Database describes a relaxed KPt3Se5 crystal. The functional is GGA-PBE.

## Properties
Raw total energy in eV/cell: -39.56
M_tot in μB per atom: 0.000

Cell and atoms, written as CIF:
```
data_KPt3Se5
_cell_length_a 6.3602
_cell_length_b 6.3602
_cell_length_c 6.9786
_cell_angle_alpha 90.00
_cell_angle_beta 90.00
_cell_angle_gamma 120.00
_symmetry_space_group_name_H-M 'P 6/m m m'
_symmetry_Int_Tables_number 191
_symmetry_space_group_name_Hall '-P 6 2'
loop_
_atom_site_label
_atom_site_fract_x
_atom_site_fract_y
_atom_site_fract_z
_atom_site_occupancy
K1 0.0000 0.0000 0.0000 1
Pt1 0.0000 0.5000 0.5000 1
Se1 0.0000 0.0000 0.5000 1
Se2 0.3333 0.6667 0.2600 1
```

---

[5]
This record from the Open Quantum Materials Database describes a relaxed KSmPtSe4 crystal. The functional is GGA-PBE.

## Properties
Raw total energy in eV/cell: -65.27
M_tot in μB per atom: 0.000

Cell and atoms, written as CIF:
```
data_KSmPtSe4
_cell_length_a 6.8794
_cell_length_b 7.0252
_cell_length_c 9.0794
_cell_angle_alpha 90.00
_cell_angle_beta 109.56
_cell_angle_gamma 90.00
_symmetry_space_group_name_H-M 'P 1 21 1'
_symmetry_Int_Tables_number 4
_symmetry_space_group_name_Hall 'P 2yb'
loop_
_atom_site_label
_atom_site_fract_x
_atom_site_fract_y
_atom_site_fract_z
_atom_site_occupancy
K1 0.2308 0.0000 0.0528 1
Sm1 0.2093 0.0059 0.5484 1
Pt1 0.2648 0.5511 0.3681 1
Se1 0.0171 0.2816 0.2846 1
Se2 0.0281 0.2711 0.7210 1
Se3 0.4355 0.4258 0.1844 1
Se4 0.4897 0.3444 0.5942 1
```

---

[6]
This record from the Open Quantum Materials Database describes a relaxed K2TePtSe crystal. The functional is GGA-PBE.

## Properties
Raw total energy in eV/cell: -38.29
M_tot in μB per atom: 0.000

Cell and atoms, written as CIF:
```
data_K2TePtSe
_cell_length_a 3.9172
_cell_length_b 10.2002
_cell_length_c 7.7079
_cell_angle_alpha 90.00
_cell_angle_beta 90.00
_cell_angle_gamma 90.00
_symmetry_space_group_name_H-M 'I m m 2'
_symmetry_Int_Tables_number 44
_symmetry_space_group_name_Hall 'I 2 -2'
loop_
_atom_site_label
_atom_site_fract_x
_atom_site_fract_y
_atom_site_fract_z
_atom_site_occupancy
K1 0.0000 0.2031 0.0000 1
Te1 0.0000 0.5000 0.2089 1
Pt1 0.0000 0.0000 0.4783 1
Se1 0.0000 0.5000 0.7676 1
```

---

[7]
This record from the Open Quantum Materials Database describes a relaxed KZrPtSe3 crystal. The functional is GGA-PBE.

## Properties
Raw total energy in eV/cell: -65.22
M_tot in μB per atom: 0.001

Cell and atoms, written as CIF:
```
data_KZrPtSe3
_cell_length_a 8.8457
_cell_length_b 3.8315
_cell_length_c 9.8907
_cell_angle_alpha 90.00
_cell_angle_beta 113.56
_cell_angle_gamma 90.00
_symmetry_space_group_name_H-M 'P 1 21/m 1'
_symmetry_Int_Tables_number 11
_symmetry_space_group_name_Hall '-P 2yb'
loop_
_atom_site_label
_atom_site_fract_x
_atom_site_fract_y
_atom_site_fract_z
_atom_site_occupancy
K1 0.0114 0.2500 0.2417 1
Zr1 0.4765 0.7500 0.8008 1
Pt1 0.4223 0.2500 0.5461 1
Se1 0.2290 0.7500 0.5393 1
Se2 0.3134 0.7500 0.2139 1
Se3 0.3145 0.2500 0.8946 1
```

---

[8]
This record from the Open Quantum Materials Database describes a relaxed KSiPt3 crystal. The functional is GGA-PBE.

## Properties
Raw total energy in eV/cell: -54.12
M_tot in μB per atom: 0.000

Cell and atoms, written as CIF:
```
data_KSiPt3
_cell_length_a 5.8664
_cell_length_b 5.8664
_cell_length_c 6.1967
_cell_angle_alpha 90.00
_cell_angle_beta 90.00
_cell_angle_gamma 120.00
_symmetry_space_group_name_H-M 'P 6/m m m'
_symmetry_Int_Tables_number 191
_symmetry_space_group_name_Hall '-P 6 2'
loop_
_atom_site_label
_atom_site_fract_x
_atom_site_fract_y
_atom_site_fract_z
_atom_site_occupancy
K1 0.0000 0.0000 0.0000 1
K2 0.0000 0.0000 0.5000 1
Si1 0.3333 0.6667 0.0000 1
Pt1 0.0000 0.5000 0.2738 1
```

---

[9]
This record from the Open Quantum Materials Database describes a relaxed KSi5Pt3 crystal. The functional is GGA-PBE.

## Properties
Raw total energy in eV/cell: -46.69
M_tot in μB per atom: 0.082

Cell and atoms, written as CIF:
```
data_KSi5Pt3
_cell_length_a 5.8223
_cell_length_b 5.8223
_cell_length_c 5.8914
_cell_angle_alpha 90.00
_cell_angle_beta 90.00
_cell_angle_gamma 120.00
_symmetry_space_group_name_H-M 'P 6/m m m'
_symmetry_Int_Tables_number 191
_symmetry_space_group_name_Hall '-P 6 2'
loop_
_atom_site_label
_atom_site_fract_x
_atom_site_fract_y
_atom_site_fract_z
_atom_site_occupancy
K1 0.0000 0.0000 0.0000 1
Si1 0.0000 0.0000 0.5000 1
Si2 0.3333 0.6667 0.1993 1
Pt1 0.0000 0.5000 0.5000 1
```

---

[10]
This record from the Open Quantum Materials Database describes a relaxed KSrSn4Pt2 crystal. The functional is GGA-PBE.

## Properties
Raw total energy in eV/cell: -71.22
M_tot in μB per atom: 0.000

Cell and atoms, written as CIF:
```
data_KSrSn4Pt2
_cell_length_a 7.8892
_cell_length_b 4.3859
_cell_length_c 12.2766
_cell_angle_alpha 90.00
_cell_angle_beta 90.00
_cell_angle_gamma 90.00
_symmetry_space_group_name_H-M 'A m m 2'
_symmetry_Int_Tables_number 38
_symmetry_space_group_name_Hall 'A 2 -2'
loop_
_atom_site_label
_atom_site_fract_x
_atom_site_fract_y
_atom_site_fract_z
_atom_site_occupancy
K1 0.0000 0.0000 0.0000 1
Sr1 0.5000 0.0000 0.1044 1
Sn1 0.1996 0.0000 0.7105 1
Sn2 0.3008 0.0000 0.3943 1
Pt1 0.0000 0.0000 0.2725 1
Pt2 0.5000 0.0000 0.8291 1
```

---

[11]
This record from the Open Quantum Materials Database describes a relaxed K2Tl3SnPt2 crystal. The functional is GGA-PBE.

## Properties
Raw total energy in eV/cell: -54.77
M_tot in μB per atom: 0.001

Cell and atoms, written as CIF:
```
data_K2Tl3SnPt2
_cell_length_a 12.2966
_cell_length_b 4.5082
_cell_length_c 8.1787
_cell_angle_alpha 90.00
_cell_angle_beta 90.44
_cell_angle_gamma 90.00
_symmetry_space_group_name_H-M 'C 1 m 1'
_symmetry_Int_Tables_number 8
_symmetry_space_group_name_Hall 'C -2y'
loop_
_atom_site_label
_atom_site_fract_x
_atom_site_fract_y
_atom_site_fract_z
_atom_site_occupancy
K1 0.0000 0.0000 0.0000 1
K2 0.1043 0.0000 0.5049 1
Tl1 0.2061 0.5000 0.2000 1
Tl2 0.3911 0.0000 0.2950 1
Tl3 0.4090 0.0000 0.6952 1
Sn1 0.2207 0.5000 0.8058 1
Pt1 0.2674 0.0000 0.9817 1
Pt2 0.3220 0.5000 0.5094 1
```

---

[12]
This record from the Open Quantum Materials Database describes a relaxed K2TlSn3Pt2 crystal. The functional is GGA-PBE.

## Properties
Raw total energy in eV/cell: -63.46
M_tot in μB per atom: 0.001

Cell and atoms, written as CIF:
```
data_K2TlSn3Pt2
_cell_length_a 12.5993
_cell_length_b 4.4773
_cell_length_c 7.9045
_cell_angle_alpha 90.00
_cell_angle_beta 90.37
_cell_angle_gamma 90.00
_symmetry_space_group_name_H-M 'C 1 m 1'
_symmetry_Int_Tables_number 8
_symmetry_space_group_name_Hall 'C -2y'
loop_
_atom_site_label
_atom_site_fract_x
_atom_site_fract_y
_atom_site_fract_z
_atom_site_occupancy
K1 0.0000 0.0000 0.0000 1
K2 0.0975 0.0000 0.5076 1
Tl1 0.4059 0.0000 0.3010 1
Sn1 0.2078 0.5000 0.8163 1
Sn2 0.2227 0.5000 0.2099 1
Sn3 0.3793 0.0000 0.7045 1
Pt1 0.2645 0.0000 0.0025 1
Pt2 0.3215 0.5000 0.5225 1
```

---

[13]
This record from the Open Quantum Materials Database describes a relaxed K2Ta2Pt3 crystal. The functional is GGA-PBE.

## Properties
Raw total energy in eV/cell: -128.38
M_tot in μB per atom: 0.002

Cell and atoms, written as CIF:
```
data_K2Ta2Pt3
_cell_length_a 4.2815
_cell_length_b 4.2815
_cell_length_c 38.1556
_cell_angle_alpha 90.00
_cell_angle_beta 90.00
_cell_angle_gamma 120.00
_symmetry_space_group_name_H-M 'R 3 m'
_symmetry_Int_Tables_number 160
_symmetry_space_group_name_Hall 'R 3 -2"'
loop_
_atom_site_label
_atom_site_fract_x
_atom_site_fract_y
_atom_site_fract_z
_atom_site_occupancy
K1 0.0000 0.0000 0.0000 1
K2 0.0000 0.0000 0.4944 1
Ta1 0.0000 0.0000 0.2450 1
Ta2 0.0000 0.0000 0.7473 1
Pt1 0.0000 0.0000 0.4036 1
Pt2 0.0000 0.0000 0.6000 1
Pt3 0.0000 0.0000 0.8899 1
```

---

[14]
This record from the Open Quantum Materials Database describes a relaxed KTbTe3Pt crystal. The functional is GGA-PBE.

## Properties
Raw total energy in eV/cell: -107.52
M_tot in μB per atom: 0.001

Cell and atoms, written as CIF:
```
data_KTbTe3Pt
_cell_length_a 4.3000
_cell_length_b 17.5761
_cell_length_c 10.4964
_cell_angle_alpha 90.00
_cell_angle_beta 90.00
_cell_angle_gamma 90.00
_symmetry_space_group_name_H-M 'C m c m'
_symmetry_Int_Tables_number 63
_symmetry_space_group_name_Hall '-C 2c 2'
loop_
_atom_site_label
_atom_site_fract_x
_atom_site_fract_y
_atom_site_fract_z
_atom_site_occupancy
K1 0.0000 0.2455 0.2500 1
Tb1 0.0000 0.0000 0.0000 1
Te1 0.0000 0.0916 0.7500 1
Te2 0.0000 0.3821 0.5832 1
Pt1 0.0000 0.4963 0.7500 1
```

---

[15]
This record from the Open Quantum Materials Database describes a relaxed KTcPt crystal. The functional is GGA-PBE.

## Properties
Relative energy among the computed polymorphs in meV/atom: 0
M_tot in μB per atom: 1.296

Cell and atoms, written as CIF:
```
data_KTcPt
_cell_length_a 6.7111
_cell_length_b 6.7111
_cell_length_c 6.7111
_cell_angle_alpha 90.00
_cell_angle_beta 90.00
_cell_angle_gamma 90.00
_symmetry_space_group_name_H-M 'F -4 3 m'
_symmetry_Int_Tables_number 216
_symmetry_space_group_name_Hall 'F -4 2 3'
loop_
_atom_site_label
_atom_site_fract_x
_atom_site_fract_y
_atom_site_fract_z
_atom_site_occupancy
K1 0.0000 0.0000 0.0000 1
Tc1 0.0000 0.0000 0.5000 1
Pt1 0.2500 0.2500 0.2500 1
```

---

[16]
This record from the Open Quantum Materials Database describes a relaxed KTe5Pt3 crystal. The functional is GGA-PBE.

## Properties
Raw total energy in eV/cell: -37.33
M_tot in μB per atom: 0.002

Cell and atoms, written as CIF:
```
data_KTe5Pt3
_cell_length_a 6.7132
_cell_length_b 6.7132
_cell_length_c 7.5803
_cell_angle_alpha 90.00
_cell_angle_beta 90.00
_cell_angle_gamma 120.00
_symmetry_space_group_name_H-M 'P 6/m m m'
_symmetry_Int_Tables_number 191
_symmetry_space_group_name_Hall '-P 6 2'
loop_
_atom_site_label
_atom_site_fract_x
_atom_site_fract_y
_atom_site_fract_z
_atom_site_occupancy
K1 0.0000 0.0000 0.0000 1
Te1 0.0000 0.0000 0.5000 1
Te2 0.3333 0.6667 0.2617 1
Pt1 0.0000 0.5000 0.5000 1
```

---

[17]
This record from the Open Quantum Materials Database describes a relaxed KTl2Pt2 crystal. The functional is GGA-PBE.

## Properties
Raw total energy in eV/cell: -37.22
M_tot in μB per atom: 0.000

Cell and atoms, written as CIF:
```
data_KTl2Pt2
_cell_length_a 4.8442
_cell_length_b 4.8442
_cell_length_c 11.2064
_cell_angle_alpha 90.00
_cell_angle_beta 90.00
_cell_angle_gamma 90.00
_symmetry_space_group_name_H-M 'I 4/m m m'
_symmetry_Int_Tables_number 139
_symmetry_space_group_name_Hall '-I 4 2'
loop_
_atom_site_label
_atom_site_fract_x
_atom_site_fract_y
_atom_site_fract_z
_atom_site_occupancy
K1 0.0000 0.0000 0.0000 1
Tl1 0.0000 0.5000 0.2500 1
Pt1 0.0000 0.0000 0.3839 1
```

---

[18]
This record from the Open Quantum Materials Database describes a relaxed KTl3Pt crystal. The functional is GGA-PBE.

## Properties
Raw total energy in eV/cell: -29.84
M_tot in μB per atom: 0.001

Cell and atoms, written as CIF:
```
data_KTl3Pt
_cell_length_a 8.9351
_cell_length_b 4.3333
_cell_length_c 9.1671
_cell_angle_alpha 90.00
_cell_angle_beta 114.60
_cell_angle_gamma 90.00
_symmetry_space_group_name_H-M 'P 1 21/m 1'
_symmetry_Int_Tables_number 11
_symmetry_space_group_name_Hall '-P 2yb'
loop_
_atom_site_label
_atom_site_fract_x
_atom_site_fract_y
_atom_site_fract_z
_atom_site_occupancy
K1 0.2218 0.2500 0.4287 1
Tl1 0.0555 0.2500 0.9097 1
Tl2 0.2630 0.7500 0.7618 1
Tl3 0.3807 0.7500 0.2001 1
Pt1 0.3927 0.2500 0.9934 1
```

---

[19]
This record from the Open Quantum Materials Database describes a relaxed KTlPt crystal. The functional is GGA-PBE.

## Properties
Raw total energy in eV/cell: -32.06
M_tot in μB per atom: 0.000

Cell and atoms, written as CIF:
```
data_KTlPt
_cell_length_a 7.2818
_cell_length_b 7.2818
_cell_length_c 7.2818
_cell_angle_alpha 90.00
_cell_angle_beta 90.00
_cell_angle_gamma 90.00
_symmetry_space_group_name_H-M 'F -4 3 m'
_symmetry_Int_Tables_number 216
_symmetry_space_group_name_Hall 'F -4 2 3'
loop_
_atom_site_label
_atom_site_fract_x
_atom_site_fract_y
_atom_site_fract_z
_atom_site_occupancy
K1 0.0000 0.0000 0.0000 1
Tl1 0.2500 0.2500 0.2500 1
Pt1 0.2500 0.2500 0.7500 1
```

---

[20]
This record from the Open Quantum Materials Database describes a relaxed K3Tl3Pt2 crystal. The functional is GGA-PBE.

## Properties
Raw total energy in eV/cell: -96.09
M_tot in μB per atom: 0.000

Cell and atoms, written as CIF:
```
data_K3Tl3Pt2
_cell_length_a 4.8801
_cell_length_b 12.3940
_cell_length_c 16.7969
_cell_angle_alpha 90.00
_cell_angle_beta 90.00
_cell_angle_gamma 90.00
_symmetry_space_group_name_H-M 'C m c m'
_symmetry_Int_Tables_number 63
_symmetry_space_group_name_Hall '-C 2c 2'
loop_
_atom_site_label
_atom_site_fract_x
_atom_site_fract_y
_atom_site_fract_z
_atom_site_occupancy
K1 0.0000 0.0670 0.1067 1
K2 0.0000 0.3815 0.2500 1
Tl1 0.0000 0.3214 0.7500 1
Tl2 0.0000 0.3502 0.0363 1
Pt1 0.0000 0.2172 0.6056 1
```